The following is a DFT calculation (GGA-PBE) of crystalline DyHoMg6 at its relaxed geometry.

Cell: 5.171 7.274 5.172 Å, 90.00 90.00 90.00°
Fractional positions:
Ho  0.500  0.500  0.255
Mg  0.500  0.250  0.755
Mg  0.000  0.250  0.245
Mg  0.000  0.500  0.746
Mg  0.000  0.750  0.245
Mg  0.500  0.000  0.254
Mg  0.500  0.750  0.755
Dy  0.000  0.000  0.745

Values from the calculation:
polymorph energy (0 for the lowest one) = 0 meV/atom